1.
The following is a meta-GGA SCAN calculation of Ta3GaFe at its PBEsol-relaxed geometry, from Alexandria via LeMat-Bulk.

abc: 4.5147 4.5147 4.5147
angles: 90.00 90.00 90.00
Last column: nearest neighbours and their distance in Å.
Atoms (fractional coordinates):
Fe: 0.0000 0.0000 0.0000  6 Ta 2.26
Ga: 0.5000 0.5000 0.5000  12 Ta 3.19
Ta: 0.0000 0.5000 0.0000  2 Fe 2.26
Ta: 0.0000 0.0000 0.5000  2 Fe 2.26
Ta: 0.5000 0.0000 0.0000  2 Fe 2.26

space group: No. 221
DOS at the Fermi energy: 2.5 states/eV per cell
total energy: -230.84 eV/f.u.

=====

2.
The following is a meta-GGA SCAN calculation of TbGa6Fe6 at its PBEsol-relaxed geometry, from Alexandria via LeMat-Bulk.

abc: 4.9473 6.4533 6.4533
angles: 80.52 67.46 67.46
Last column: nearest neighbours and their distance in Å.
Atoms (fractional coordinates):
Tb: 0.0000 0.0000 0.0000  8 Ga 2.79-2.93
Ga: 0.6845 0.8155 0.8155  6 Fe 2.49-2.56
Ga: 0.3445 0.6555 0.6555  6 Fe 2.52-2.55, 1 Ga 2.65
Ga: 0.6555 0.3445 0.3445  6 Fe 2.52-2.55, 1 Ga 2.65
Ga: 0.0000 0.3344 0.6656  6 Fe 2.56-2.59, 1 Ga 2.76, 1 Tb 2.79
Ga: 0.3155 0.1845 0.1845  6 Fe 2.49-2.56
Ga: 0.0000 0.6656 0.3344  6 Fe 2.56-2.59, 1 Ga 2.76, 1 Tb 2.79
Fe: 0.5000 0.7571 0.2429  4 Fe 2.46, 6 Ga 2.52-2.59
Fe: 0.5000 0.2429 0.7571  4 Fe 2.46, 6 Ga 2.52-2.59
Fe: 0.5000 0.0000 0.5000  4 Fe 2.46-2.47, 6 Ga 2.49-2.56
Fe: 0.5000 0.5000 0.0000  4 Fe 2.46-2.47, 6 Ga 2.49-2.56
Fe: 0.0000 0.0000 0.5000  4 Fe 2.46-2.47, 6 Ga 2.49-2.56
Fe: 0.0000 0.5000 0.0000  4 Fe 2.46-2.47, 6 Ga 2.49-2.56

space group: No. 71
DOS at the Fermi energy: 5.4 states/eV per cell
total energy: -258.10 eV/f.u.

=====

3.
The following is a meta-GGA SCAN calculation of TbGaFe at its PBEsol-relaxed geometry, from Alexandria via LeMat-Bulk.

abc: 4.3325 4.3325 6.6022
angles: 90.00 90.00 120.00
Last column: nearest neighbours and their distance in Å.
Atoms (fractional coordinates):
Tb: 0.0000 0.0000 0.5000  6 Fe 3.00, 6 Ga 3.00, 2 Tb 3.30
Tb: 0.0000 0.0000 0.0000  6 Ga 3.00, 6 Fe 3.00, 2 Tb 3.30
Ga: 0.3333 0.6667 0.2500  3 Fe 2.50
Ga: 0.6667 0.3333 0.7500  3 Fe 2.50
Fe: 0.3333 0.6667 0.7500  3 Ga 2.50
Fe: 0.6667 0.3333 0.2500  3 Ga 2.50

space group: No. 194
DOS at the Fermi energy: 5.2 states/eV per cell
total energy: -82.02 eV/f.u.

=====

4.
The following is a meta-GGA SCAN calculation of GaFeTe3 at its PBEsol-relaxed geometry, from Alexandria via LeMat-Bulk.

abc: 5.2377 5.2377 5.2377
angles: 90.00 90.00 90.00
Last column: nearest neighbours and their distance in Å.
Atoms (fractional coordinates):
Te: 0.0000 0.5000 0.0000  2 Ga 2.62
Te: 0.0000 0.0000 0.5000  2 Ga 2.62
Te: 0.5000 0.0000 0.0000  2 Ga 2.62
Fe: 0.5000 0.5000 0.5000  12 Te 3.70
Ga: 0.0000 0.0000 0.0000  6 Te 2.62

space group: No. 221
DOS at the Fermi energy: 7.0 states/eV per cell
total energy: -141.93 eV/f.u.
uncorrected formation energy: 859.5 meV per atom

=====

5.
The following is a meta-GGA SCAN calculation of Tm2Ga8Fe at its PBEsol-relaxed geometry, from Alexandria via LeMat-Bulk.

abc: 4.1262 4.1262 10.9052
angles: 90.00 90.00 90.00
Last column: nearest neighbours and their distance in Å.
Atoms (fractional coordinates):
Tm: 0.5000 0.5000 0.6936  12 Ga 2.92-2.95
Tm: 0.5000 0.5000 0.3064  12 Ga 2.92-2.95
Ga: 0.0000 0.5000 0.8831  2 Fe 2.43, 1 Ga 2.55
Ga: 0.0000 0.0000 0.3058  8 Ga 2.92-2.96, 4 Tm 2.92
Ga: 0.0000 0.5000 0.1169  2 Fe 2.43, 1 Ga 2.55
Ga: 0.5000 0.0000 0.8831  2 Fe 2.43, 1 Ga 2.55
Ga: 0.5000 0.0000 0.1169  2 Fe 2.43, 1 Ga 2.55
Ga: 0.5000 0.0000 0.5000  8 Ga 2.92-2.96, 4 Tm 2.95
Ga: 0.0000 0.0000 0.6942  8 Ga 2.92-2.96, 4 Tm 2.92
Ga: 0.0000 0.5000 0.5000  8 Ga 2.92-2.96, 4 Tm 2.95
Fe: 0.5000 0.5000 0.0000  8 Ga 2.43

space group: No. 123
DOS at the Fermi energy: 3.6 states/eV per cell
total energy: -257.90 eV/f.u.

=====

6.
The following is a meta-GGA SCAN calculation of V2GaFe at its PBEsol-relaxed geometry, from Alexandria via LeMat-Bulk.

abc: 2.5612 2.5612 7.9226
angles: 90.00 90.00 104.68
Last column: nearest neighbours and their distance in Å.
Atoms (fractional coordinates):
V: 0.0000 0.0000 0.4965  6 V 2.56, 2 Ga 2.62
V: 0.5000 0.5000 0.2401  2 Fe 2.45, 6 V 2.56
Ga: 0.5000 0.5000 0.7613  2 Fe 2.47, 4 Ga 2.56, 2 V 2.62
Fe: 0.0000 0.0000 0.0020  2 V 2.45, 2 Ga 2.47, 4 Fe 2.56

space group: No. 35
DOS at the Fermi energy: 3.0 states/eV per cell
total energy: -69.96 eV/f.u.

=====

7.
The following is a meta-GGA SCAN calculation of Ga2FeW at its PBEsol-relaxed geometry, from Alexandria via LeMat-Bulk.

abc: 4.2546 4.2546 4.2546
angles: 60.00 60.00 60.00
Last column: nearest neighbours and their distance in Å.
Atoms (fractional coordinates):
Ga: 0.2500 0.2500 0.2500  4 W 2.61, 4 Fe 2.61
Ga: 0.7500 0.7500 0.7500  4 Fe 2.61, 4 W 2.61
W: 0.5000 0.5000 0.5000  8 Ga 2.61
Fe: 0.0000 0.0000 0.0000  8 Ga 2.61

space group: No. 225
DOS at the Fermi energy: 3.0 states/eV per cell
total energy: -119.23 eV/f.u.

=====

8.
The following is a meta-GGA SCAN calculation of Zr6Ga2Fe at its PBEsol-relaxed geometry, from Alexandria via LeMat-Bulk.

abc: 3.3032 7.7373 7.7373
angles: 120.00 90.00 90.00
Last column: nearest neighbours and their distance in Å.
Atoms (fractional coordinates):
Ga: 0.0000 0.6667 0.3333  9 Zr 2.88-2.96
Ga: 0.0000 0.3333 0.6667  9 Zr 2.88-2.96
Zr: 0.0000 0.0000 0.2492  2 Fe 2.54
Zr: 0.0000 0.7508 0.7508  2 Fe 2.54
Zr: 0.0000 0.2492 0.0000  2 Fe 2.54
Zr: 0.5000 0.5974 0.0000  4 Ga 2.88, 1 Fe 3.12, 6 Zr 3.16-3.18
Zr: 0.5000 0.4026 0.4026  4 Ga 2.88, 1 Fe 3.12, 6 Zr 3.16-3.18
Zr: 0.5000 0.0000 0.5974  4 Ga 2.88, 1 Fe 3.12, 6 Zr 3.16-3.18
Fe: 0.5000 0.0000 0.0000  6 Zr 2.54

space group: No. 189
DOS at the Fermi energy: 8.1 states/eV per cell
total energy: -238.59 eV/f.u.

=====

9.
The following is a meta-GGA SCAN calculation of GdFe2 at its PBEsol-relaxed geometry, from Alexandria via LeMat-Bulk.

abc: 5.0389 5.0389 5.0389
angles: 60.00 60.00 60.00
Last column: nearest neighbours and their distance in Å.
Atoms (fractional coordinates):
Gd: 0.5000 0.5000 0.5000  12 Fe 2.95, 4 Gd 3.09
Gd: 0.7500 0.7500 0.7500  12 Fe 2.95, 4 Gd 3.09
Fe: 0.6250 0.1250 0.1250  6 Fe 2.52
Fe: 0.1250 0.1250 0.1250  6 Fe 2.52
Fe: 0.1250 0.1250 0.6250  6 Fe 2.52
Fe: 0.1250 0.6250 0.1250  6 Fe 2.52

space group: No. 227
DOS at the Fermi energy: 5.3 states/eV per cell
total energy: -95.18 eV/f.u.

=====

10.
The following is a meta-GGA SCAN calculation of GdFe5 at its PBEsol-relaxed geometry, from Alexandria via LeMat-Bulk.

abc: 3.8848 4.9036 4.9036
angles: 120.00 90.00 90.00
Last column: nearest neighbours and their distance in Å.
Atoms (fractional coordinates):
Gd: 0.0000 0.0000 0.0000  18 Fe 2.83-3.13
Fe: 0.0000 0.6667 0.3333  6 Fe 2.40
Fe: 0.0000 0.3333 0.6667  6 Fe 2.40
Fe: 0.5000 0.5000 0.5000  8 Fe 2.40-2.45
Fe: 0.5000 0.5000 0.0000  8 Fe 2.40-2.45
Fe: 0.5000 0.0000 0.5000  8 Fe 2.40-2.45

space group: No. 191
DOS at the Fermi energy: 5.2 states/eV per cell
total energy: -149.39 eV/f.u.

=====

Q: Which value of DOS at the Fermi energy does entry 9 give?
A: 5.3 states/eV per cell